<w>
Compound: LiAsBr2N
Source: the Alexandria database
Functional: PBE
Structure: optimized geometry

a b c (Å): 4.929 4.929 5.268
angles (deg): 90.00 90.00 90.00
Last column: magnetic moment on the atom in μB.
Sites, in units of the cell vectors:
As 0.000 0.000 0.500  -0.88
Li 0.000 0.000 0.000  -0.03
Br 0.000 0.500 0.000  -0.02
Br 0.500 0.000 0.000  -0.02
N 0.500 0.500 0.500  1.81

spin magnetization	0.78	μB/f.u.
N(E_F)	3.80	states/eV/cell
space-group type	P4/mmm (123)

<x>
Compound: LiAsBr2N
Source: the Alexandria database
Functional: PBE
Structure: optimized geometry

a b c (Å): 5.838 5.838 3.682
angles (deg): 90.00 90.00 90.00
Sites, in units of the cell vectors:
As 0.000 0.000 0.500
Li 0.500 0.500 0.500
Br 0.000 0.500 0.000
Br 0.500 0.000 0.000
N 0.000 0.000 0.000

spin magnetization	0.00	μB/f.u.
N(E_F)	2.16	states/eV/cell
space-group type	P4/mmm (123)

Most stable: <x> (next structure +0.670 eV/atom)